(1)
8
Lattice="3.350 -3.350 0.000 3.350 3.350 0.000 0.000 0.000 5.145" Properties=species:S:1:pos:R:3 comment="LiCdPO PBE optimized geometry" e_tot_ev_per_atom=-3.57 pbc="T T T"
O 1.675 1.675 0.000
O 1.675 -1.675 0.000
P 0.000 0.000 2.608
P 3.351 0.000 2.537
Cd 0.000 0.000 0.036
Cd 3.351 0.000 5.109
Li 1.675 1.675 2.573
Li 1.675 -1.675 2.573



(2)
7
Lattice="-5.586 -1.007 -0.484 0.831 -3.428 -4.644 -1.806 -5.565 0.232" Properties=species:S:1:pos:R:3 comment="LiCdPS3O PBE optimized geometry" e_tot_ev_per_atom=-4.62 pbc="T T T"
S -3.548 -2.392 -0.550
S -5.680 -7.757 -4.037
S -3.059 -5.761 -1.981
Li -2.049 -2.507 -2.518
Cd -1.045 -8.943 -4.373
P -1.677 -5.446 -3.469
O -1.095 -4.012 -3.327



(3)
7
Lattice="5.383 0.000 0.000 -2.670 4.746 0.000 -2.549 -1.495 4.930" Properties=species:S:1:pos:R:3 comment="LiCdPS2O2 PBE optimized geometry" e_tot_ev_per_atom=-5.09 pbc="T T T"
O 0.755 1.587 3.466
O -1.497 0.356 3.691
S -1.944 3.728 2.135
S 3.123 0.699 0.403
Cd -2.432 -1.418 4.831
Li -2.773 1.525 2.806
P 0.048 0.218 3.620



(4)
7
Lattice="2.313 2.199 4.616 -3.300 -3.765 2.535 3.410 -1.908 -3.728" Properties=species:S:1:pos:R:3 comment="LiCdPS2O2 PBE optimized geometry" e_tot_ev_per_atom=-5.10 pbc="T T T"
Li 1.527 -1.401 1.829
Cd -1.536 -4.656 0.693
S 1.719 -3.882 1.446
S -0.947 -1.346 1.366
O 2.654 -1.078 0.254
O 1.182 -0.893 3.694
P 0.770 0.560 4.044